CaYIn after structural relaxation, computed with PBE.

Structure (extended XYZ):
```
12
Lattice="11.5999 0.0000 0.0000 0.0000 5.2636 0.0000 -3.4227 0.0000 6.0196" Properties=species:S:1:pos:R:3 pbc="T T T"
Ca 1.7388 0.0000 0.6812
Ca 0.6385 2.6318 5.3384
Ca 7.5388 2.6318 0.6812
Ca 6.4384 0.0000 5.3384
Y -0.4595 2.6318 1.8602
Y 2.8368 0.0000 4.1594
Y 5.3404 0.0000 1.8602
Y 8.6368 2.6318 4.1594
In -0.3885 0.0000 3.6742
In 2.7658 2.6318 2.3454
In 5.4115 2.6318 3.6742
In 8.5657 0.0000 2.3454
```

Summary:
- Size of the total moment: 0.0 μB/cell
- DFT formation energy: -304 meV/atom
- SG: C2/m, No. 12
- Distance to the lowest polymorph of the same formula: 100 meV per atom